A plane-wave DFT calculation with GGA-PBEsol was carried out for CaTeP3 after structural relaxation.

Energy relative to the elements, uncorrected   5.80 eV per formula unit
Uncorrected energy   -0.12668 Ha/atom
Space group   Pm-3m (221)

Unit cell a=5.0723 b=5.0723 c=5.0723 alpha=90.00 beta=90.00 gamma=90.00
Fractional positions:
Ca (0.0000, 0.0000, 0.0000)
P (0.5000, 0.0000, 0.0000)
P (0.0000, 0.0000, 0.5000)
Te (0.5000, 0.5000, 0.5000)
P (0.0000, 0.5000, 0.0000)

A plane-wave DFT calculation with GGA-PBEsol was carried out for CdTc2Pt after structural relaxation.

Uncorrected energy   -0.27347 Ha/atom
ΔE_f   232 meV/atom
Space group   I4/mmm (139)

Unit cell a=3.7866 b=3.7866 c=5.0089 alpha=112.21 beta=112.21 gamma=90.00
Fractional positions:
Tc (0.2500, 0.7500, 0.5000)
Cd (0.5000, 0.5000, 0.0000)
Pt (0.0000, 0.0000, 0.0000)
Tc (0.7500, 0.2500, 0.5000)

A plane-wave DFT calculation with GGA-PBEsol was carried out for SrLiLa2 after structural relaxation.

Energy relative to the lowest polymorph listed for this composition   15 meV/atom
Uncorrected energy   -0.12944 Ha/atom
ΔE_f   103 meV/atom
Space group   C2/m (12)

Unit cell a=3.7097 b=5.8023 c=7.1801 alpha=113.91 beta=104.97 gamma=90.00
Fractional positions:
Li (0.0000, 0.5000, 0.0000)
La (0.2788, 0.2792, 0.5576)
La (0.7212, 0.7208, 0.4424)
Sr (0.5000, 0.0000, 0.0000)

A plane-wave DFT calculation with GGA-PBEsol was carried out for SrScI2 after structural relaxation.

Energy relative to the elements, uncorrected   -2.19 eV per formula unit
Uncorrected energy   -0.13019 Ha/atom
Space group   I-42d (122)

Unit cell a=5.6511 b=5.6511 c=10.3237 alpha=105.88 beta=105.88 gamma=90.00
Fractional positions:
Sr (0.0000, 0.0000, 0.0000)
I (0.1250, 0.1621, 0.7500)
Sc (0.5000, 0.5000, 0.0000)
I (0.6250, 0.5879, 0.7500)
I (0.4121, 0.8750, 0.2500)
Sc (0.7500, 0.2500, 0.5000)
I (0.8379, 0.3750, 0.2500)
Sr (0.2500, 0.7500, 0.5000)

A plane-wave DFT calculation with GGA-PBEsol was carried out for BaTe4Se after structural relaxation.

Energy relative to the elements, uncorrected   -1.82 eV per formula unit
Uncorrected energy   -0.13430 Ha/atom
Space group   F-43m (216)

Unit cell a=6.3252 b=6.3252 c=6.3252 alpha=60.00 beta=60.00 gamma=60.00
Fractional positions:
Ba (0.7500, 0.7500, 0.7500)
Te (0.3736, 0.3736, 0.8792)
Te (0.8792, 0.3736, 0.3736)
Te (0.3736, 0.3736, 0.3736)
Se (0.0000, 0.0000, 0.0000)
Te (0.3736, 0.8792, 0.3736)

A plane-wave DFT calculation with GGA-PBEsol was carried out for Mg2TlCoCu after structural relaxation.

Uncorrected energy   -0.11587 Ha/atom
ΔE_f   474 meV/atom
Space group   P4/mmm (123)

Unit cell a=4.4442 b=4.7801 c=4.7801 alpha=90.00 beta=90.00 gamma=90.00
Fractional positions:
Tl (0.5000, 0.5000, 0.5000)
Mg (0.0000, 0.0000, 0.5000)
Mg (0.0000, 0.5000, 0.0000)
Cu (0.5000, 0.0000, 0.0000)
Co (0.0000, 0.0000, 0.0000)

A plane-wave DFT calculation with GGA-PBEsol was carried out for TcHg3H after structural relaxation.

Energy relative to the lowest polymorph listed for this composition   428 meV/atom
Uncorrected energy   -0.07573 Ha/atom
Space group   Pm-3m (221)

Unit cell a=5.2557 b=5.2557 c=5.2557 alpha=90.00 beta=90.00 gamma=90.00
Fractional positions:
Hg (0.5000, 0.0000, 0.0000)
Tc (0.0000, 0.0000, 0.0000)
Hg (0.0000, 0.0000, 0.5000)
H (0.5000, 0.5000, 0.5000)
Hg (0.0000, 0.5000, 0.0000)

A plane-wave DFT calculation with GGA-PBEsol was carried out for TaFeHg after structural relaxation.

Uncorrected energy   -0.25843 Ha/atom
ΔE_f   328 meV/atom
Space group   P3m1 (156)

Unit cell a=3.0484 b=3.0484 c=6.2768 alpha=90.00 beta=90.00 gamma=120.00
Fractional positions:
Hg (0.3333, 0.6667, 0.6813)
Ta (0.6667, 0.3333, 0.2899)
Fe (0.0000, 0.0000, 0.0288)

A plane-wave DFT calculation with GGA-PBEsol was carried out for CuSbH2Au after structural relaxation.

Uncorrected energy   -0.12582 Ha/atom
Space group   P4/mmm (123)

Unit cell a=3.7069 b=3.7069 c=5.2674 alpha=90.00 beta=90.00 gamma=90.00
Fractional positions:
Sb (0.0000, 0.0000, 0.0000)
H (0.0000, 0.5000, 0.0000)
Au (0.5000, 0.5000, 0.5000)
H (0.5000, 0.0000, 0.0000)
Cu (0.0000, 0.0000, 0.5000)

A plane-wave DFT calculation with GGA-PBEsol was carried out for LiAlNi2 after structural relaxation.

Uncorrected energy   -0.17409 Ha/atom
ΔE_f   -144 meV/atom
Space group   R-3m (166)

Unit cell a=2.6300 b=2.6300 c=8.1136 alpha=80.67 beta=80.67 gamma=60.00
Fractional positions:
Li (0.0000, 0.0000, 0.0000)
Ni (0.2460, 0.2460, 0.2619)
Al (0.5000, 0.5000, 0.5000)
Ni (0.7540, 0.7540, 0.7381)

A plane-wave DFT calculation with GGA-PBEsol was carried out for CdInAg2 after structural relaxation.

Uncorrected energy   -0.09942 Ha/atom
ΔE_f   -5 meV/atom
Space group   C2/m (12)

Unit cell a=3.1266 b=5.0195 c=5.1480 alpha=100.63 beta=90.00 gamma=108.15
Fractional positions:
Ag (0.7492, 0.4985, 0.7483)
Cd (0.0000, 0.0000, 0.5000)
Ag (0.2508, 0.5015, 0.2517)
In (0.5000, 0.0000, 0.0000)

A plane-wave DFT calculation with GGA-PBEsol was carried out for IrPtIN2 after structural relaxation.

Energy relative to the elements, uncorrected   7.63 eV per formula unit
Uncorrected energy   -0.20562 Ha/atom
Space group   P4/mmm (123)

Unit cell a=3.7017 b=3.7017 c=7.7570 alpha=90.00 beta=90.00 gamma=90.00
Fractional positions:
I (0.0000, 0.0000, 0.5000)
N (0.0000, 0.5000, 0.0000)
N (0.5000, 0.0000, 0.0000)
Ir (0.5000, 0.5000, 0.5000)
Pt (0.0000, 0.0000, 0.0000)

A plane-wave DFT calculation with GGA-PBEsol was carried out for TiNbCrO6 after structural relaxation.

Energy relative to the elements, uncorrected   -22.77 eV per formula unit
Uncorrected energy   -0.34155 Ha/atom
Space group   P4_2nm (102)

Unit cell a=4.6399 b=4.6399 c=8.9157 alpha=90.00 beta=90.00 gamma=90.00
Fractional positions:
O (0.3002, 0.3002, 0.9976)
Ti (0.0000, 0.0000, 0.0023)
O (0.6998, 0.6998, 0.9976)
Ti (0.5000, 0.5000, 0.5023)
O (0.6925, 0.6925, 0.6665)
Cr (0.0000, 0.0000, 0.3335)
O (0.8075, 0.1925, 0.1665)
O (0.3011, 0.3011, 0.3352)
O (0.8011, 0.1989, 0.8352)
O (0.1989, 0.8011, 0.8352)
O (0.1925, 0.8075, 0.1665)
O (0.3075, 0.3075, 0.6665)
Cr (0.5000, 0.5000, 0.8335)
O (0.8002, 0.1998, 0.4976)
O (0.1998, 0.8002, 0.4976)
Nb (0.5000, 0.5000, 0.1654)
Nb (0.0000, 0.0000, 0.6654)
O (0.6989, 0.6989, 0.3352)

A plane-wave DFT calculation with GGA-PBEsol was carried out for Zn5Ag3 after structural relaxation.

Energy relative to the lowest polymorph listed for this composition   0 meV/atom
Uncorrected energy   -0.08346 Ha/atom
ΔE_f   -41 meV/atom
Space group   Cmmm (65)

Unit cell a=3.9878 b=5.4635 c=5.4635 alpha=95.56 beta=90.00 gamma=90.00
Fractional positions:
Zn (0.0000, 0.0000, 0.5000)
Ag (0.0000, 0.5000, 0.5000)
Zn (0.0000, 0.5000, 0.0000)
Zn (0.0000, 0.0000, 0.0000)
Ag (0.5000, 0.2431, 0.7569)
Zn (0.5000, 0.7483, 0.7483)
Ag (0.5000, 0.7569, 0.2431)
Zn (0.5000, 0.2517, 0.2517)

A plane-wave DFT calculation with GGA-PBEsol was carried out for ScAs2Pt after structural relaxation.

Energy relative to the lowest polymorph listed for this composition   18 meV/atom
Uncorrected energy   -0.24459 Ha/atom
ΔE_f   -710 meV/atom
Space group   P4/mmm (123)

Unit cell a=3.3923 b=4.4196 c=4.4196 alpha=90.00 beta=90.00 gamma=90.00
Fractional positions:
Sc (0.5000, 0.0000, 0.0000)
Pt (0.5000, 0.5000, 0.5000)
As (0.0000, 0.5000, 0.0000)
As (0.0000, 0.0000, 0.5000)

A plane-wave DFT calculation with GGA-PBEsol was carried out for PAuCl3 after structural relaxation.

Energy relative to the elements, uncorrected   1.15 eV per formula unit
Uncorrected energy   -0.10723 Ha/atom
Space group   Pm-3m (221)

Unit cell a=4.7006 b=4.7006 c=4.7006 alpha=90.00 beta=90.00 gamma=90.00
Fractional positions:
P (0.0000, 0.0000, 0.0000)
Cl (0.0000, 0.0000, 0.5000)
Cl (0.0000, 0.5000, 0.0000)
Au (0.5000, 0.5000, 0.5000)
Cl (0.5000, 0.0000, 0.0000)

A plane-wave DFT calculation with GGA-PBEsol was carried out for MnCu2Pt after structural relaxation.

Uncorrected energy   -0.23745 Ha/atom
ΔE_f   -113 meV/atom
Space group   I-4m2 (119)

Unit cell a=3.7103 b=3.7103 c=4.5446 alpha=114.09 beta=114.09 gamma=90.00
Fractional positions:
Cu (0.5000, 0.5000, 0.0000)
Pt (0.2500, 0.7500, 0.5000)
Mn (0.0000, 0.0000, 0.0000)
Cu (0.7500, 0.2500, 0.5000)

A plane-wave DFT calculation with GGA-PBEsol was carried out for MnAlAg2 after structural relaxation.

Uncorrected energy   -0.18449 Ha/atom
ΔE_f   98 meV/atom
Space group   I-4m2 (119)

Unit cell a=4.1015 b=4.6665 c=4.1015 alpha=63.93 beta=90.00 gamma=116.07
Fractional positions:
Mn (0.7500, 0.5000, 0.7500)
Ag (0.2500, 0.5000, 0.2500)
Al (0.5000, 0.0000, 0.5000)
Ag (0.0000, 0.0000, 0.0000)

A plane-wave DFT calculation with GGA-PBEsol was carried out for Cr2SbPdBr after structural relaxation.

Energy relative to the elements, uncorrected   6.79 eV per formula unit
Uncorrected energy   -0.19166 Ha/atom
Space group   P4/mmm (123)

Unit cell a=5.0618 b=5.0618 c=5.4616 alpha=90.00 beta=90.00 gamma=90.00
Fractional positions:
Pd (0.5000, 0.5000, 0.5000)
Cr (0.0000, 0.5000, 0.0000)
Cr (0.5000, 0.0000, 0.0000)
Sb (0.0000, 0.0000, 0.0000)
Br (0.0000, 0.0000, 0.5000)

A plane-wave DFT calculation with GGA-PBEsol was carried out for Li3InAu after structural relaxation.

Uncorrected energy   -0.09765 Ha/atom
ΔE_f   -96 meV/atom
Space group   Pm-3m (221)

Unit cell a=4.7679 b=4.7679 c=4.7679 alpha=90.00 beta=90.00 gamma=90.00
Fractional positions:
Li (0.0000, 0.5000, 0.0000)
Li (0.0000, 0.0000, 0.5000)
Li (0.5000, 0.0000, 0.0000)
Au (0.0000, 0.0000, 0.0000)
In (0.5000, 0.5000, 0.5000)

A plane-wave DFT calculation with GGA-PBEsol was carried out for TiMn3Pb after structural relaxation.

Uncorrected energy   -0.26578 Ha/atom
ΔE_f   1089 meV/atom
Space group   Pm-3m (221)

Unit cell a=4.4889 b=4.4889 c=4.4889 alpha=90.00 beta=90.00 gamma=90.00
Fractional positions:
Ti (0.0000, 0.0000, 0.0000)
Pb (0.5000, 0.5000, 0.5000)
Mn (0.5000, 0.0000, 0.0000)
Mn (0.0000, 0.5000, 0.0000)
Mn (0.0000, 0.0000, 0.5000)

A plane-wave DFT calculation with GGA-PBEsol was carried out for HfPd5 after structural relaxation.

Uncorrected energy   -0.27079 Ha/atom
ΔE_f   -652 meV/atom
Space group   Cmmm (65)

Unit cell a=3.9523 b=3.9496 c=6.1445 alpha=90.00 beta=108.76 gamma=90.00
Fractional positions:
Pd (0.1666, 0.5000, 0.3332)
Pd (0.3358, 0.0000, 0.6715)
Pd (0.6642, 0.0000, 0.3285)
Pd (0.8334, 0.5000, 0.6668)
Pd (0.5000, 0.5000, 0.0000)
Hf (0.0000, 0.0000, 0.0000)

A plane-wave DFT calculation with GGA-PBEsol was carried out for Ca3TaB after structural relaxation.

Uncorrected energy   -0.11982 Ha/atom
ΔE_f   1933 meV/atom
Space group   Pm-3m (221)

Unit cell a=5.4249 b=5.4249 c=5.4249 alpha=90.00 beta=90.00 gamma=90.00
Fractional positions:
Ta (0.0000, 0.0000, 0.0000)
B (0.5000, 0.5000, 0.5000)
Ca (0.0000, 0.0000, 0.5000)
Ca (0.5000, 0.0000, 0.0000)
Ca (0.0000, 0.5000, 0.0000)

A plane-wave DFT calculation with GGA-PBEsol was carried out for Be12Fe after structural relaxation.

Uncorrected energy   -0.16233 Ha/atom
ΔE_f   -35 meV/atom
Space group   I4/mmm (139)

Unit cell a=4.0612 b=5.4215 c=5.4215 alpha=81.94 beta=68.00 gamma=68.00
Fractional positions:
Be (0.0000, 0.6544, 0.3456)
Be (0.3456, 0.6544, 0.6544)
Be (0.2913, 0.2087, 0.2087)
Be (0.5000, 0.2087, 0.7913)
Be (0.0000, 0.3456, 0.6544)
Be (0.7087, 0.7913, 0.7913)
Be (0.5000, 0.5000, 0.0000)
Be (0.5000, 0.0000, 0.5000)
Be (0.0000, 0.0000, 0.5000)
Fe (0.0000, 0.0000, 0.0000)
Be (0.6544, 0.3456, 0.3456)
Be (0.5000, 0.7913, 0.2087)
Be (0.0000, 0.5000, 0.0000)

A plane-wave DFT calculation with GGA-PBEsol was carried out for CaSb2Cl after structural relaxation.

Energy relative to the elements, uncorrected   -2.52 eV per formula unit
Energy relative to the lowest polymorph listed for this composition   255 meV/atom
Uncorrected energy   -0.14498 Ha/atom
Space group   F-43m (216)

Unit cell a=5.2812 b=5.2812 c=5.2812 alpha=60.00 beta=60.00 gamma=60.00
Fractional positions:
Cl (0.2500, 0.2500, 0.2500)
Sb (0.7500, 0.7500, 0.7500)
Sb (0.0000, 0.0000, 0.0000)
Ca (0.5000, 0.5000, 0.5000)

A plane-wave DFT calculation with GGA-PBEsol was carried out for HfZrV4 after structural relaxation.

Uncorrected energy   -0.35466 Ha/atom
ΔE_f   38 meV/atom
Space group   F-43m (216)

Unit cell a=5.1110 b=5.1110 c=5.1110 alpha=60.00 beta=60.00 gamma=60.00
Fractional positions:
V (0.8746, 0.3751, 0.3751)
Hf (0.7500, 0.7500, 0.7500)
V (0.3751, 0.3751, 0.3751)
Zr (0.0000, 0.0000, 0.0000)
V (0.3751, 0.3751, 0.8746)
V (0.3751, 0.8746, 0.3751)

A plane-wave DFT calculation with GGA-PBEsol was carried out for ScTa2Pb after structural relaxation.

Uncorrected energy   -0.31966 Ha/atom
ΔE_f   228 meV/atom
Space group   P4mm (99)

Unit cell a=3.0476 b=3.0476 c=8.8742 alpha=90.00 beta=90.00 gamma=90.00
Fractional positions:
Ta (0.0000, 0.0000, 0.0065)
Ta (0.5000, 0.5000, 0.2325)
Pb (0.0000, 0.0000, 0.4910)
Sc (0.5000, 0.5000, 0.7699)

A plane-wave DFT calculation with GGA-PBEsol was carried out for Tc2OsSe after structural relaxation.

Energy relative to the elements, uncorrected   1.00 eV per formula unit
Uncorrected energy   -0.34542 Ha/atom
Space group   Imm2 (44)

Unit cell a=2.9126 b=4.3656 c=5.1670 alpha=114.99 beta=106.37 gamma=90.00
Fractional positions:
Os (0.5240, 0.5240, 0.0481)
Tc (0.7514, 0.2514, 0.5028)
Se (0.2507, 0.7507, 0.5014)
Tc (0.9739, 0.9739, 0.9477)